# AlCo2O4 | the Alexandria database | GGA+U | optimized geometry
data_AlCo2O4
_cell_length_a 6.981
_cell_length_b 9.938
_cell_length_c 5.114
_cell_angle_alpha 90.00
_cell_angle_beta 131.59
_cell_angle_gamma 90.00
_symmetry_space_group_name_H-M 'C 1 2/c 1'
_symmetry_Int_Tables_number 15
_symmetry_space_group_name_Hall '-C 2yc'
loop_
_atom_site_label
_atom_site_fract_x
_atom_site_fract_y
_atom_site_fract_z
_atom_site_occupancy
Al1 0.000 0.076 0.250 1
Co1 0.000 0.500 0.000 1
Co2 0.250 0.250 0.000 1
O1 0.181 0.084 0.744 1
O2 0.206 0.346 0.653 1
# calculated total energy: -43.70 eV per formula unit